An optimized crystal structure of LiScSnRu. Source: Alexandria via LeMat-Bulk, functional PBE.

Geometry as POSCAR:
```
LiScSnRu
1.0
4.5808 0.0000 0.0000
2.2904 3.9671 0.0000
2.2904 1.3224 3.7402
Ru Sc Sn Li
1 1 1 1
direct
0.7500 0.7500 0.7500
0.0000 0.0000 0.0000
0.5000 0.5000 0.5000
0.2500 0.2500 0.2500
```

Values from the calculation:
Energy of formation ... -0.474 eV per atom
Raw total energy ... -5.8550 eV per atom
Calculated volume ... 17.0 Å³/atom
ρ ... 6.6 Mg/m³